This record from Alexandria describes a relaxed structure of ErTmSnPt. The functional is PBE.

Cell: 5.093 5.093 5.093 Å, 60.00 60.00 60.00°
Fractional coordinates of all 4 atoms:
1 Tm 0.500 0.500 0.500
2 Sn 0.250 0.250 0.250
3 Pt 0.750 0.750 0.750
4 Er 0.000 0.000 0.000

Properties
Total moment, μB per formula unit: 0.0
Crystal system: cubic
Fermi-level density of states, states/eV/cell: 1.04
Formation enthalpy at 0 K, eV/f.u.: -3.47
Raw total energy, eV/atom: -5.64

This record from Alexandria describes a relaxed structure of Ac2Zn3Ga4Sn. The functional is PBE.

Cell: 4.539 4.539 10.805 Å, 90.00 90.00 90.00°
Fractional coordinates of all 10 atoms:
1 Ac 0.500 0.000 0.239
2 Ac 0.000 0.500 0.761
3 Zn 0.000 0.000 0.500
4 Zn 0.500 0.000 0.878
5 Zn 0.000 0.500 0.122
6 Ga 0.500 0.500 0.000
7 Ga 0.000 0.000 0.000
8 Ga 0.500 0.000 0.646
9 Ga 0.000 0.500 0.354
10 Sn 0.500 0.500 0.500

Properties
Total moment, μB per formula unit: 0.0
Crystal system: tetragonal
Fermi-level density of states, states/eV/cell: 3.15
Formation enthalpy at 0 K, eV/f.u.: -4.40
Raw total energy, eV/atom: -3.26

This record from Alexandria describes a relaxed structure of Sr4Ag. The functional is PBE.

Cell: 6.277 6.277 6.277 Å, 90.00 90.00 90.00°
Fractional coordinates of all 5 atoms:
1 Sr 0.000 0.000 0.000
2 Sr 0.500 0.000 0.500
3 Sr 0.000 0.500 0.500
4 Sr 0.500 0.500 0.000
5 Ag 0.500 0.500 0.500

Properties
Polymorph energy (0 for the lowest one), eV/atom: 0.002
Total moment, μB per formula unit: 0.0
Crystal system: cubic
Fermi-level density of states, states/eV/cell: 2.98
Formation enthalpy at 0 K, eV/f.u.: -0.46
Raw total energy, eV/atom: -2.01